a:
A geometry-optimized Ac2AuF structure, computed with PBE.

Properties
D(E_F), states/eV/f.u.: 3.2
SG: R-3m (166)

The structure in POSCAR format:
```
Ac2AuF
1.0
4.7932 0.0000 0.0000
2.3966 4.1510 0.0000
2.3966 1.3837 7.9397
Ac Au F
2 1 1
Cartesian
2.3966 1.3837 5.5252
7.1898 4.1510 2.4145
4.7932 2.7674 3.9699
0.0000 0.0000 0.0000
```

b:
A geometry-optimized Ac2AuF structure, computed with PBE.

Properties
D(E_F), states/eV/f.u.: 4.2
SG: P4/mmm (123)

The structure in POSCAR format:
```
Ac2AuF
1.0
3.7221 0.0000 0.0000
0.0000 3.7221 0.0000
0.0000 0.0000 7.8713
Ac Au F
2 1 1
Cartesian
0.0000 0.0000 5.8797
0.0000 0.0000 1.9916
1.8610 1.8610 3.9356
1.8610 1.8610 0.0000
```

Most stable: a. Least stable: b.

a:
A geometry-optimized AcGa4Au2 structure, computed with PBE.

Properties
D(E_F), states/eV/f.u.: 2.8
SG: Pnma (62)

The structure in POSCAR format:
```
AcGa4Au2
1.0
-1.8369 0.4366 4.3483
6.0402 -1.6689 2.7192
4.6658 17.2720 0.2366
Ac Au Ga
4 8 16
Cartesian
7.6200 9.6750 6.1236
1.2491 6.3647 1.1806
6.5678 14.1757 2.6430
2.3014 1.8640 4.6611
6.6425 8.0421 3.2905
2.2266 7.9976 4.0136
4.7279 16.5871 4.2077
4.1412 -0.5473 3.0964
9.1282 11.9662 3.9465
-0.2591 4.0735 3.3576
4.8955 11.9299 4.7462
3.9736 4.1099 2.5579
4.5214 11.4779 2.0495
4.3477 4.5618 5.2546
7.2143 13.0504 5.6132
1.6548 2.9894 1.6909
6.8452 10.7351 3.1057
2.0239 5.3046 4.1984
3.5485 14.1639 3.9528
5.3206 1.8758 3.3513
3.2224 9.0717 1.7424
5.6467 6.9680 5.5618
7.3055 15.7903 5.3766
1.5636 0.2495 1.9275
4.4681 6.7069 2.5060
4.4010 9.3328 4.7981
4.9012 -0.0860 5.9552
3.9679 16.1257 1.3489
```

b:
A geometry-optimized AcGa4Au2 structure, computed with PBE.

Properties
D(E_F), states/eV/f.u.: 2.1
SG: Cmmm (65)

The structure in POSCAR format:
```
AcGa4Au2
1.0
-0.3877 3.0367 -3.1253
2.3561 -2.5474 -2.7675
-7.7373 -2.1076 -1.0881
Ac Ga Au
1 4 2
Cartesian
0.0000 0.0000 0.0000
-3.1411 -1.8820 -4.5010
-1.3699 -2.5872 -2.3439
-2.6277 0.2637 -2.4798
-4.0113 -2.0678 -1.5116
-0.1940 -0.3628 -3.3904
-5.5748 -1.2555 -3.5904
```

Most stable: a. Least stable: b.